1.
First-principles (PBE-GGA) data for crystalline KU4Ni3Se12 at its relaxed geometry, as listed in Alexandria via LeMat-Bulk.

Summary:
Size of the total moment, μB/atom: 0.345
Electronic total energy, eV/atom: -5.9762
D(E_F), states/eV/f.u.: 21.2

```
20
Lattice="-5.057 5.057 5.057 5.057 -5.057 5.057 5.057 5.057 -5.057" Properties=species:S:1:pos:R:3 pbc="T T T"
K 0.000 0.000 0.000
U 2.529 2.529 -2.529
U 2.529 -2.529 2.529
U -2.529 2.529 2.529
U 2.529 2.529 2.529
Ni 5.057 0.000 0.000
Ni 0.000 5.057 0.000
Ni 0.000 0.000 5.057
Se 3.296 1.633 0.000
Se 6.819 1.633 0.000
Se 5.057 -1.762 3.425
Se 3.425 5.057 -1.762
Se 1.633 0.000 3.296
Se 0.000 3.296 1.633
Se 5.057 1.762 3.425
Se 3.425 5.057 1.762
Se 1.633 0.000 6.819
Se 0.000 6.819 1.633
Se -1.762 3.425 5.057
Se 1.762 3.425 5.057
```



2.
First-principles (PBE-GGA) data for crystalline K2U2NiSe6 at its relaxed geometry, as listed in Alexandria via LeMat-Bulk.

Summary:
Size of the total moment, μB/atom: 0.467
Electronic total energy, eV/atom: -5.6566
D(E_F), states/eV/f.u.: 17.5

```
11
Lattice="3.466 -6.040 0.000 3.466 6.040 0.000 -2.343 0.000 7.916" Properties=species:S:1:pos:R:3 pbc="T T T"
K 3.466 4.029 0.000
K 3.466 -4.029 0.000
U 2.294 2.017 3.958
U 2.294 -2.017 3.958
Ni -1.172 0.000 3.958
Se -0.041 1.955 5.515
Se 0.945 0.000 2.487
Se -0.041 -1.955 5.515
Se 4.629 1.955 2.401
Se 3.643 0.000 5.429
Se 4.629 -1.955 2.401
```



Number 1: formation energy from raw total energies -0.706 eV per atom. Number 2: formation energy from raw total energies -0.978 eV per atom.